This record from the Alexandria database describes a relaxed structure of Dy2Ga7Au12. The functional is PBE-GGA.

Cell: 4.0681 10.6971 10.6972 Å, 120.00 90.00 90.00°
Fractional positions:
Dy (0.2452, 0.3333, 0.6667)
Dy (0.7548, 0.6667, 0.3333)
Ga (0.5000, 0.0000, 0.0000)
Ga (0.2696, 0.8972, 0.3005)
Ga (0.2696, 0.4033, 0.1028)
Ga (0.2696, 0.6995, 0.5967)
Ga (0.7304, 0.1028, 0.6995)
Ga (0.7304, 0.5967, 0.8972)
Ga (0.7304, 0.3005, 0.4033)
Au (0.2396, 0.6323, 0.0883)
Au (0.2396, 0.4560, 0.3677)
Au (0.2396, 0.9117, 0.5440)
Au (0.7604, 0.3677, 0.9117)
Au (0.7604, 0.5440, 0.6323)
Au (0.7604, 0.0883, 0.4560)
Au (0.2269, 0.1277, 0.2588)
Au (0.2269, 0.1311, 0.8723)
Au (0.2269, 0.7412, 0.8689)
Au (0.7731, 0.8723, 0.7412)
Au (0.7731, 0.8689, 0.1277)
Au (0.7731, 0.2588, 0.1311)

Summary:
Space-group type ... P-3, No. 147
ΔE_f ... -7.5 eV per formula unit
Density of states at the Fermi level ... 5.72 states/eV/f.u.

This record from the Alexandria database describes a relaxed structure of DyGaAu4. The functional is PBE-GGA.

Cell: 5.2409 5.2403 9.9907 Å, 110.10 110.18 89.27°
Fractional positions:
Dy (0.7500, 0.7499, 0.0000)
Dy (0.2500, 0.2501, 0.0000)
Ga (0.5000, 0.0000, 0.5000)
Ga (0.0000, 0.5000, 0.5000)
Au (0.6348, 0.1352, 0.8223)
Au (0.8654, 0.3646, 0.1777)
Au (0.3652, 0.8648, 0.1777)
Au (0.1346, 0.6354, 0.8223)
Au (0.0359, 0.0366, 0.6555)
Au (0.4642, 0.4636, 0.3445)
Au (0.9641, 0.9634, 0.3445)
Au (0.5358, 0.5364, 0.6555)

Summary:
Space-group type ... P-1, No. 2
ΔE_f ... -2.8 eV per formula unit
Density of states at the Fermi level ... 1.96 states/eV/f.u.
Energy above the most stable polymorph in this dataset ... 0.017 eV per atom

This record from the Alexandria database describes a relaxed structure of DyGaAu. The functional is PBE-GGA.

Cell: 4.4869 5.8100 5.7171 Å, 76.47 66.90 67.29°
Fractional positions:
Dy (0.5379, 0.2021, 0.7221)
Dy (0.4621, 0.7979, 0.2779)
Ga (0.1573, 0.3955, 0.2898)
Ga (0.8427, 0.6045, 0.7102)
Au (0.8238, 0.2145, 0.1379)
Au (0.1762, 0.7855, 0.8621)

Summary:
Space-group type ... C2/m, No. 12
ΔE_f ... -2.4 eV per formula unit
Density of states at the Fermi level ... 1.42 states/eV/f.u.

This record from the Alexandria database describes a relaxed structure of Dy4GaAu2. The functional is PBE-GGA.

Cell: 5.0504 5.0504 8.6505 Å, 73.03 73.03 60.00°
Fractional positions:
Au (0.7503, 0.7503, 0.7490)
Au (0.2497, 0.2497, 0.2510)
Ga (0.0000, 0.0000, 0.0000)
Dy (0.8740, 0.8740, 0.3781)
Dy (0.1260, 0.1260, 0.6219)
Dy (0.6222, 0.6222, 0.1334)
Dy (0.3778, 0.3778, 0.8666)

Summary:
Space-group type ... R-3m, No. 166
ΔE_f ... -4.2 eV per formula unit
Density of states at the Fermi level ... 4.84 states/eV/f.u.

This record from the Alexandria database describes a relaxed structure of DyGa2Au8. The functional is PBE-GGA.

Cell: 4.5036 7.1643 7.1643 Å, 105.65 98.61 98.61°
Fractional positions:
Dy (0.5000, 0.0000, 0.0000)
Ga (0.0000, 0.3678, 0.6322)
Ga (0.0000, 0.6322, 0.3678)
Au (0.9387, 0.9609, 0.6856)
Au (0.9387, 0.6856, 0.9609)
Au (0.4439, 0.6589, 0.6589)
Au (0.5000, 0.7427, 0.2573)
Au (0.5000, 0.2573, 0.7427)
Au (0.5561, 0.3411, 0.3411)
Au (0.0613, 0.3144, 0.0391)
Au (0.0613, 0.0391, 0.3144)

Summary:
Space-group type ... C2/m, No. 12
ΔE_f ... -3.2 eV per formula unit
Density of states at the Fermi level ... 3.52 states/eV/f.u.
Energy above the most stable polymorph in this dataset ... 0.013 eV per atom

This record from the Alexandria database describes a relaxed structure of Dy2Ga3Au2. The functional is PBE-GGA.

Cell: 4.3716 5.7201 6.6969 Å, 111.40 90.00 112.47°
Fractional positions:
Dy (0.8529, 0.7058, 0.2227)
Dy (0.1471, 0.2942, 0.7773)
Ga (0.5000, 0.0000, 0.0000)
Ga (0.5954, 0.1908, 0.4281)
Ga (0.4046, 0.8092, 0.5719)
Au (0.8440, 0.6880, 0.7565)
Au (0.1560, 0.3120, 0.2435)

Summary:
Space-group type ... C2/m, No. 12
ΔE_f ... -4.7 eV per formula unit
Density of states at the Fermi level ... 2.23 states/eV/f.u.
Energy above the most stable polymorph in this dataset ... 0.000 eV per atom

This record from the Alexandria database describes a relaxed structure of Dy2Ga5Au3. The functional is PBE-GGA.

Cell: 4.4161 7.0367 12.7191 Å, 90.00 100.00 90.00°
Fractional positions:
Dy (0.4831, 0.7447, 0.9661)
Dy (0.1742, 0.7335, 0.3485)
Dy (0.8258, 0.2335, 0.6515)
Dy (0.5169, 0.2447, 0.0339)
Ga (0.3955, 0.4066, 0.7911)
Ga (0.2940, 0.5219, 0.5881)
Ga (0.7060, 0.0219, 0.4119)
Ga (0.1179, 0.2589, 0.2357)
Ga (0.2928, 0.9310, 0.5857)
Ga (0.9501, 0.0681, 0.9002)
Ga (0.7072, 0.4310, 0.4143)
Ga (0.8821, 0.7589, 0.7643)
Ga (0.0499, 0.5681, 0.0998)
Ga (0.6045, 0.9066, 0.2089)
Au (0.7767, 0.7253, 0.5534)
Au (0.6069, 0.5174, 0.2137)
Au (0.0518, 0.9576, 0.1036)
Au (0.2233, 0.2253, 0.4466)
Au (0.9482, 0.4576, 0.8964)
Au (0.3931, 0.0174, 0.7863)

Summary:
Space-group type ... Cmc2_1, No. 36
ΔE_f ... -6.0 eV per formula unit
Density of states at the Fermi level ... 3.48 states/eV/f.u.
Energy above the most stable polymorph in this dataset ... 0.000 eV per atom

This record from the Alexandria database describes a relaxed structure of Dy2Ga3Au2. The functional is PBE-GGA.

Cell: 4.2191 7.2786 9.6470 Å, 90.00 102.63 90.00°
Fractional positions:
Dy (0.1561, 0.2500, 0.3122)
Dy (0.8439, 0.7500, 0.6878)
Dy (0.9432, 0.2500, 0.8864)
Dy (0.0568, 0.7500, 0.1136)
Ga (0.2269, 0.7500, 0.4539)
Ga (0.7731, 0.2500, 0.5461)
Ga (0.5560, 0.4206, 0.1120)
Ga (0.4440, 0.5794, 0.8880)
Ga (0.4440, 0.9206, 0.8880)
Ga (0.5560, 0.0794, 0.1120)
Au (0.6833, 0.9489, 0.3667)
Au (0.3167, 0.0511, 0.6333)
Au (0.3167, 0.4489, 0.6333)
Au (0.6833, 0.5511, 0.3667)

Summary:
Space-group type ... Cmcm, No. 63
ΔE_f ... -4.6 eV per formula unit
Density of states at the Fermi level ... 3.48 states/eV/f.u.
Energy above the most stable polymorph in this dataset ... 0.010 eV per atom

This record from the Alexandria database describes a relaxed structure of DyGa2Au. The functional is PBE-GGA.

Cell: 4.3951 6.8579 10.2393 Å, 90.00 90.00 90.00°
Fractional positions:
Dy (0.7500, 0.7306, 0.6725)
Dy (0.2500, 0.7694, 0.1725)
Dy (0.2500, 0.2694, 0.3275)
Dy (0.7500, 0.2306, 0.8275)
Ga (0.7500, 0.2964, 0.5365)
Ga (0.2500, 0.2036, 0.0365)
Ga (0.2500, 0.7036, 0.4635)
Ga (0.7500, 0.7964, 0.9635)
Ga (0.7500, 0.5683, 0.3470)
Ga (0.2500, 0.9317, 0.8470)
Ga (0.2500, 0.4317, 0.6530)
Ga (0.7500, 0.0683, 0.1530)
Au (0.7500, 0.9531, 0.3989)
Au (0.2500, 0.5469, 0.8989)
Au (0.2500, 0.0469, 0.6011)
Au (0.7500, 0.4531, 0.1011)

Summary:
Space-group type ... Pnma, No. 62
ΔE_f ... -2.7 eV per formula unit
Density of states at the Fermi level ... 0.21 states/eV/f.u.

This record from the Alexandria database describes a relaxed structure of Dy7Ga2Au2. The functional is PBE-GGA.

Cell: 6.7120 7.2521 6.7120 Å, 90.00 108.74 90.00°
Fractional positions:
Dy (0.0000, 0.2754, 0.4998)
Dy (0.4998, 0.7246, 0.0000)
Dy (0.0000, 0.7246, 0.5002)
Dy (0.5002, 0.2754, 0.0000)
Dy (0.0000, 0.0000, 0.0000)
Dy (0.4999, 0.7361, 0.5001)
Dy (0.5001, 0.2639, 0.4999)
Ga (0.8333, 0.5000, 0.8333)
Ga (0.1667, 0.5000, 0.1667)
Au (0.7077, 0.9999, 0.2923)
Au (0.2923, 0.0001, 0.7077)

Summary:
Space-group type ... Cmmm, No. 65
ΔE_f ... -3.4 eV per formula unit
Density of states at the Fermi level ... 11.62 states/eV/f.u.

This record from the Alexandria database describes a relaxed structure of Dy3Ga8Au3. The functional is PBE-GGA.

Cell: 4.3340 8.3101 8.3101 Å, 71.05 74.88 74.88°
Fractional positions:
Dy (0.5000, 0.5000, 0.5000)
Dy (0.8079, 0.1921, 0.1921)
Dy (0.1921, 0.8079, 0.8079)
Ga (0.6413, 0.0783, 0.6392)
Ga (0.3587, 0.9217, 0.3608)
Ga (0.6413, 0.6392, 0.0783)
Ga (0.3587, 0.3608, 0.9217)
Ga (0.8372, 0.7913, 0.5344)
Ga (0.1628, 0.2087, 0.4656)
Ga (0.8372, 0.5344, 0.7913)
Ga (0.1628, 0.4656, 0.2087)
Au (0.5000, 0.0000, 0.0000)
Au (0.0000, 0.7911, 0.2089)
Au (0.0000, 0.2089, 0.7911)

Summary:
Space-group type ... Immm, No. 71
ΔE_f ... -7.6 eV per formula unit
Density of states at the Fermi level ... 3.33 states/eV/f.u.
Energy above the most stable polymorph in this dataset ... 0.014 eV per atom

This record from the Alexandria database describes a relaxed structure of Dy3Ga7Au2. The functional is PBE-GGA.

Cell: 4.2174 4.2409 13.7369 Å, 98.82 90.00 90.00°
Fractional positions:
Dy (0.5000, 0.5000, 0.0000)
Dy (0.0000, 0.1845, 0.3693)
Dy (0.0000, 0.8155, 0.6307)
Ga (0.5000, 0.7277, 0.4549)
Ga (0.5000, 0.2723, 0.5451)
Ga (0.0000, 0.5817, 0.1587)
Ga (0.0000, 0.0000, 0.0000)
Ga (0.0000, 0.4183, 0.8413)
Ga (0.5000, 0.9203, 0.8408)
Ga (0.5000, 0.0797, 0.1592)
Au (0.5000, 0.6342, 0.2712)
Au (0.5000, 0.3658, 0.7288)

Summary:
Space-group type ... P2/m, No. 10
ΔE_f ... -6.9 eV per formula unit
Density of states at the Fermi level ... 4.76 states/eV/f.u.

Q: Among the records above, which one has the highest ΔE_f?
A: DyGaAu

Q: Which value of density of states at the Fermi level does entry 9 give?
A: 0.21 states/eV/f.u.

Q: Number 1 is which compound?
A: Dy2Ga7Au12

Q: The lowest ΔE_f belongs to which entry?
A: Dy3Ga8Au3